{
  "formula": "PaFeSbO6",
  "functional": "GGA+U",
  "state": "optimized geometry",
  "spacegroup": "P-31c, No. 163",
  "total_magnetization_mub_per_fu": 4.0,
  "n_ef_per_ev_cell": 8.96,
  "dft_energy_ry_per_atom": -0.548,
  "lattice_angstrom": [[5.532, 0.000, 0.000], [-2.766, 4.791, 0.000], [0.000, 0.000, 8.992]],
  "species": ["Pa", "Pa", "Fe", "Fe", "Sb", "Sb", "O", "O", "O", "O", "O", "O", "O", "O", "O", "O", "O", "O"],
  "frac_coords": [[0.333, 0.667, 0.250], [0.667, 0.333, 0.750], [0.000, 0.000, 0.000], [0.000, 0.000, 0.500], [0.333, 0.667, 0.750], [0.667, 0.333, 0.250], [0.023, 0.351, 0.630], [0.023, 0.672, 0.870], [0.328, 0.351, 0.870], [0.328, 0.977, 0.630], [0.351, 0.023, 0.130], [0.351, 0.328, 0.370], [0.649, 0.672, 0.630], [0.649, 0.977, 0.870], [0.672, 0.023, 0.370], [0.672, 0.649, 0.130], [0.977, 0.328, 0.130], [0.977, 0.649, 0.370]]
}